Entry 1:
Pu2GaTc3 | PBE | relaxed

Cell and atoms, written as extended XYZ:
```
6
Lattice="4.6888 -0.1003 -2.4800 -2.9551 4.3990 -0.2496 -0.1736 0.1429 5.4150" Properties=species:S:1:pos:R:3 pbc="T T T"
Tc -0.0868 0.0715 2.7075
Pu -0.8302 2.8301 3.9296
Tc 0.7800 2.2208 1.3427
Pu 2.3903 1.6115 -1.2443
Ga 0.0000 0.0000 0.0000
Tc 2.2576 0.0213 1.4675
```

Output
Its volume is 18.23 Å³ per atom.

=====

Entry 2:
PuGa3Tc2 | PBE | relaxed

Cell and atoms, written as extended XYZ:
```
12
Lattice="5.2248 1.2558 0.4331 0.6199 5.3377 0.4331 -0.5380 -0.6070 8.2333" Properties=species:S:1:pos:R:3 pbc="T T T"
Tc 5.1127 3.4512 7.0848
Pu 4.8177 0.8038 6.6081
Ga 1.1281 1.7044 4.3548
Tc 2.2247 0.1932 6.1313
Ga 4.1785 4.2821 4.7447
Tc 3.0819 5.7933 2.9682
Ga 2.5154 2.8445 6.6081
Ga 2.7912 3.1420 2.4914
Ga 1.2877 1.0210 8.4715
Pu 0.4890 5.1828 2.4914
Ga 4.0189 4.9655 0.6280
Tc 0.1939 2.5353 2.0147
```

Output
Its volume is 18.78 Å³ per atom.

=====

Entry 3:
Pu3Ga4Tc4 | PBE | relaxed

Cell and atoms, written as extended XYZ:
```
11
Lattice="-2.2623 -2.0425 -5.9381 2.5741 -5.1950 3.3070 -5.0349 2.6062 3.5226" Properties=species:S:1:pos:R:3 pbc="T T T"
Ga -1.8626 -1.8264 0.3516
Ga -3.0493 1.5784 2.1334
Pu 0.1559 -3.6188 -1.3155
Pu -1.2304 -1.2944 3.4148
Ga -1.3702 -1.2370 -3.5964
Tc -1.2226 0.6328 0.8554
Tc -0.5493 -0.4960 -1.4419
Pu -3.6486 0.2819 -1.2077
Tc 0.6251 -1.2615 0.8030
Ga 1.5590 -3.1463 2.0029
Tc -3.5762 -3.5067 0.6751
```

Output
Its volume is 20.81 Å³ per atom.

=====

Entry 4:
Pu3Ga12Tc | PBE | relaxed

Cell and atoms, written as extended XYZ:
```
16
Lattice="-2.8704 2.3187 -2.1193 1.7932 -1.1477 -3.6844 -9.8784 -12.9397 -0.7772" Properties=species:S:1:pos:R:3 pbc="T T T"
Ga -2.4846 -0.2153 -1.1422
Ga -5.3420 -8.7457 -2.3330
Pu -4.9392 -6.4699 -0.3886
Tc 0.0000 0.0000 0.0000
Ga -0.1528 -1.9484 -1.9247
Ga -5.4778 -5.8844 -3.2905
Pu -7.5680 -9.9133 -0.5955
Ga -7.6738 -7.0126 -1.5505
Pu -2.3104 -3.0264 -0.1818
Ga -2.8987 -2.5060 -3.0875
Ga -5.0751 -3.6085 -1.3461
Ga -10.2643 -10.4058 -1.7543
Ga -8.0570 -9.2628 -3.4934
Ga -7.9324 -12.1390 -2.5369
Ga -2.7433 -5.3417 -2.1286
Ga -0.5386 0.5855 -2.9018
```

Output
Its volume is 18.44 Å³ per atom.

=====

Entry 5:
Pu8GaTc5 | PBE | relaxed

Cell and atoms, written as extended XYZ:
```
14
Lattice="-7.0698 -1.5812 -0.6251 3.2640 -1.2898 -6.3683 3.1231 -4.1199 5.1133" Properties=species:S:1:pos:R:3 pbc="T T T"
Pu -0.7153 -2.5391 -2.8991
Pu 0.0376 -2.1869 0.2064
Tc 1.4868 -1.2458 -1.8925
Pu 3.2543 -3.2775 -2.2566
Pu -0.4635 -5.1682 1.5830
Ga 2.2069 -4.1301 0.4945
Tc 0.7198 -4.6301 3.9694
Pu -3.4410 -2.9969 -0.1876
Pu -4.2262 -4.7133 2.5459
Pu 1.1294 -5.7649 -1.6806
Tc -1.3295 -4.5317 -0.9428
Pu 1.6939 -1.3167 -4.8320
Tc -2.2425 -3.5740 -4.8943
Tc -1.9734 -2.8505 2.2441
```

Output
Its volume is 21.13 Å³ per atom.

=====

Entry 6:
Pu3Ga4Tc | PBE | relaxed

Cell and atoms, written as extended XYZ:
```
8
Lattice="-3.8123 2.1798 1.1924 -3.4289 -3.5011 -4.5627 2.4984 -3.5166 5.7338" Properties=species:S:1:pos:R:3 pbc="T T T"
Pu -1.7145 -1.7505 -2.2813
Ga -1.4942 -3.6756 1.9421
Pu -0.3106 -1.1561 1.1206
Tc -1.9062 1.0899 0.5962
Ga -3.2486 -1.1623 0.4214
Pu -4.4322 -3.6818 1.2430
Ga -0.0975 -2.2495 3.8006
Ga -4.6453 -2.5884 -1.4371
```

Output
Its volume is 22.56 Å³ per atom.

=====

Entry 7:
Pu2Ga5Tc | PBE | relaxed

Cell and atoms, written as extended XYZ:
```
8
Lattice="6.0486 -0.1686 -0.2402 -3.1246 5.1817 0.2402 -3.1246 -1.5368 4.9544" Properties=species:S:1:pos:R:3 pbc="T T T"
Ga 1.2884 0.9282 1.3229
Tc -4.8621 2.8358 4.0415
Ga -3.2982 3.6032 1.5631
Pu -0.2742 0.1599 3.8003
Ga -1.8363 2.7506 3.9201
Pu -0.2742 3.5192 1.4432
Ga -3.2982 0.2441 3.9201
Ga -1.7330 1.0108 1.4405
```

Output
Its volume is 18.75 Å³ per atom.

=====

Entry 8:
PuGa2Tc | PBE | relaxed

Cell and atoms, written as extended XYZ:
```
4
Lattice="-2.1963 0.5898 -2.2865 -2.2341 -1.5306 1.7511 -1.6339 5.9306 3.0993" Properties=species:S:1:pos:R:3 pbc="T T T"
Ga -0.3194 1.1592 0.6058
Tc -2.2152 -0.4704 -0.2677
Pu -3.0322 2.4949 1.2819
Ga -1.3146 4.7714 2.4936
```

Output
Its volume is 17.91 Å³ per atom. For the energy above the most stable polymorph in this dataset, the calculation gives 131 meV per atom.

=====

Entry 9:
Pu3GaTc | PBE | relaxed

Cell and atoms, written as extended XYZ:
```
20
Lattice="-2.4424 -2.9310 10.5320 1.1049 -5.2532 -2.2555 5.7279 0.9025 0.5296" Properties=species:S:1:pos:R:3 pbc="T T T"
Ga -0.6074 -7.2923 5.7155
Tc 2.5322 -0.8924 2.6022
Pu 0.3944 -2.3916 5.8910
Ga 1.8260 -4.2128 1.1797
Pu 2.2997 -4.3765 -1.7595
Tc 4.9365 -2.4512 2.0567
Pu 1.4744 -2.9065 3.8158
Pu 1.1315 -1.5707 0.3333
Ga 2.5645 -3.0690 7.6264
Pu 4.0045 -1.9460 5.2693
Pu 3.9960 -4.8902 2.9151
Pu 2.9160 -4.3752 4.9904
Tc 1.8583 -6.3894 6.2040
Pu 0.3150 -4.2898 9.1190
Pu 0.3860 -5.3357 3.5368
Pu 4.0755 -2.9919 -0.3129
Tc -0.5460 -4.8305 6.7494
Ga 4.9978 0.0106 3.0907
Pu 2.0908 -2.9052 10.5656
Pu 3.2590 -5.7110 8.4728
```

Output
Its volume is 18.44 Å³ per atom. For the energy above the most stable polymorph in this dataset, the calculation gives 126 meV per atom.

=====

Entry 10:
PuGa2Tc | PBE | relaxed

Cell and atoms, written as extended XYZ:
```
8
Lattice="-3.2238 3.0977 0.8821 -1.7184 -4.3642 1.8513 2.8566 1.3271 5.7799" Properties=species:S:1:pos:R:3 pbc="T T T"
Tc 1.0721 -0.4149 5.1877
Tc -3.1576 0.4755 3.3255
Pu -2.4253 0.2154 6.7715
Ga -2.4477 -1.8135 2.0124
Ga 0.3622 1.8740 6.5009
Ga -0.7717 1.3473 4.2066
Pu 0.3398 -0.1548 1.7417
Ga -1.3138 -1.2867 4.3067
```

Output
Its volume is 18.17 Å³ per atom. For the energy above the most stable polymorph in this dataset, the calculation gives 0 meV per atom.

=====

Entry 11:
Pu6GaTc2 | PBE | relaxed

Cell and atoms, written as extended XYZ:
```
9
Lattice="2.3879 0.0000 0.0000 0.0000 8.5623 0.0000 0.0000 -4.2812 7.4152" Properties=species:S:1:pos:R:3 pbc="T T T"
Pu 1.9352 5.7243 4.9147
Pu 1.9352 1.4439 2.5000
Pu 1.9352 5.6753 0.0005
Pu 0.4527 -1.3941 7.4147
Tc 1.1940 0.0000 4.9435
Pu 0.4527 -1.4431 2.5005
Ga 1.1940 0.0000 0.0000
Tc 1.1939 4.2812 2.4717
Pu 0.4527 2.8372 4.9152
```

Output
Its volume is 16.85 Å³ per atom. For the energy above the most stable polymorph in this dataset, the calculation gives 340 meV per atom.

=====

Entry 12:
PuGa6Tc2 | PBE | relaxed

Cell and atoms, written as extended XYZ:
```
9
Lattice="-3.0258 1.6137 -0.7268 -3.8879 -5.1680 -3.7413 -5.1515 -4.4953 3.0127" Properties=species:S:1:pos:R:3 pbc="T T T"
Pu 0.0000 0.0000 0.0000
Ga -6.2477 -3.9103 0.4222
Tc -8.3390 -4.7059 -1.0914
Ga -6.7519 -6.2946 -2.7727
Ga -5.8175 -4.1393 -1.8776
Ga -5.3134 -1.7550 1.3173
Tc -3.7263 -3.3437 -0.3641
Ga -7.5170 -5.8873 1.3167
Ga -4.5483 -2.1624 -2.7721
```

Output
Its volume is 17.18 Å³ per atom.

=====

Values for formation energy, kJ/mol of formula units, ordered as above
-66, -68, 3, -444, 267, -65, -164, -78, 21, -129, 262, -82